# Na3CrSi

A geometry-optimized Na3CrSi structure (GGA-PBEsol, Alexandria via LeMat-Bulk).

```
5
Lattice="5.489 0.000 0.000 0.000 5.489 0.000 0.000 0.000 5.489" Properties=species:S:1:pos:R:3 pbc="T T T"
Na 2.744 0.000 0.000
Si 0.000 0.000 0.000
Na 0.000 2.744 0.000
Na 0.000 0.000 2.744
Cr 2.744 2.744 2.744
```

Calculated values
relative energy among the computed polymorphs	0.0	meV per atom